# MnTe2HO6 (PBE with a Hubbard U, relaxed)
# DFT total energy ... -5.63 eV per atom
# Magnetic moment ... 16.00 μB/cell
# Volume ... 150.18 Å³/f.u.
data_MnTe2HO6
_chemical_formula_sum 'Mn4 Te8 H4 O24'
_cell_length_a 11.973
_cell_length_b 9.085
_cell_length_c 5.541
_cell_angle_alpha 90.00
_cell_angle_beta 94.70
_cell_angle_gamma 90.00
_space_group_name_H-M_alt 'C 1 2/c 1'
_space_group_IT_number 15
loop_
_space_group_symop_operation_xyz
'x,y,z'
'-x,-y,-z'
'-x,y,-z+1/2'
'x,-y,z+1/2'
'x+1/2,y+1/2,z'
'-x+1/2,-y+1/2,-z'
'-x+1/2,y+1/2,-z+1/2'
'x+1/2,-y+1/2,z+1/2'
loop_
_atom_site_label
_atom_site_fract_x
_atom_site_fract_y
_atom_site_fract_z
Mn1 0.000 0.123 0.250
Te1 0.248 0.129 0.773
H1 0.000 0.102 0.750
O1 0.080 0.062 0.639
O2 0.113 0.260 0.168
O3 0.202 0.451 0.534